Here is Fe3TcTe after structural relaxation from the Alexandria database. Energies are from PBE.

a = 4.5833 Å, b = 4.5833 Å, c = 4.5833 Å
α = 90.00°, β = 90.00°, γ = 90.00°
Site moments in Bohr magnetons follow the coordinates.
Atoms (fractional coordinates):
Fe: 0.5000 0.0000 0.0000  2.17
Fe: 0.0000 0.0000 0.5000  2.73
Fe: 0.0000 0.5000 0.0000  2.65
Te: 0.5000 0.5000 0.5000  0.05
Tc: 0.0000 0.0000 0.0000  -0.20

**Crystal system**: cubic
**Volume**: 19.3 Å³/atom
**SG**: Pm-3m (221)
**ΔE_f (raw)**: 6.51 eV/f.u.

Here is FeTc2Te after structural relaxation from the Alexandria database. Energies are from PBE.

a = 3.1167 Å, b = 3.1164 Å, c = 6.4431 Å
α = 90.00°, β = 90.00°, γ = 90.00°
Site moments in Bohr magnetons follow the coordinates.
Atoms (fractional coordinates):
Fe: 0.5000 0.5000 0.7608  2.22
Te: 0.0000 0.0000 0.5179  -0.04
Tc: 0.5000 0.5000 0.2284  -0.07
Tc: 0.0000 0.0000 0.9928  0.20

**Crystal system**: tetragonal
**Volume**: 15.6 Å³/atom
**SG**: P4mm (99)
**ΔE_f (raw)**: 1.35 eV/f.u.

Here is FeTc2Te after structural relaxation from the Alexandria database. Energies are from PBE.

a = 8.6166 Å, b = 8.6166 Å, c = 8.6166 Å
α = 19.82°, β = 19.82°, γ = 19.82°
Site moments in Bohr magnetons follow the coordinates.
Atoms (fractional coordinates):
Te: 0.4970 0.4970 0.4970  -0.03
Tc: 0.0017 0.0017 0.0017  -0.02
Tc: 0.2547 0.2547 0.2547  -0.16
Fe: 0.7465 0.7465 0.7465  2.30

**Crystal system**: trigonal
**Volume**: 16.1 Å³/atom
**SG**: R3m (160)
**ΔE_f (raw)**: 2.01 eV/f.u.

It is found that the electronic total energy values, taken in the order of the records, are -6.4777; -7.7457; -7.5806 eV per atom.